The following is a PBE-GGA calculation of a relaxed structure of BaLaGa, from Alexandria.

- E_form: -0.3038 eV per atom
- Raw total energy: -21.6 eV/cell
- Magnetic moment: 0.00 μB/f.u.

Lattice parameters (Å, degrees): 10.843 5.162 5.163 120.04 90.06 89.93
Sites, in units of the cell vectors:
Ga (0.475, 0.551, 0.719)
Ga (0.733, 0.551, 0.719)
Ba (0.924, 0.217, 0.052)
Ba (0.285, 0.884, 0.385)
La (0.533, 0.217, 0.052)
La (0.675, 0.884, 0.385)